VASP calculation (GGA+U) on an optimized crystal structure of CaTcNi2O6.

Values from the calculation:
DOS(E_F) in states/eV/cell: 4.356
Symmetry: P2_1/c (14)
Calculated total energy in eV/atom: -6.184

Structure (POSCAR):
```
CaTcNi2O6
1.0
5.421 0.000 0.000
0.000 5.475 0.000
-5.370 0.000 7.900
Ca Tc Ni O
2 2 4 12
direct
0.000 0.000 0.000
0.000 0.500 0.500
0.500 0.000 0.500
0.500 0.500 0.000
0.178 0.020 0.710
0.178 0.480 0.210
0.822 0.520 0.790
0.822 0.980 0.290
0.155 0.137 0.283
0.155 0.363 0.783
0.216 0.645 0.037
0.216 0.855 0.537
0.495 0.213 0.109
0.495 0.287 0.609
0.505 0.713 0.391
0.505 0.787 0.891
0.784 0.145 0.463
0.784 0.355 0.963
0.845 0.637 0.217
0.845 0.863 0.717
```